(1)
{
  "formula": "Sm2HO",
  "functional": "PBE",
  "state": "relaxed",
  "de_polymorph_ev_per_fu": 0.00,
  "lattice_angstrom": [[3.582, 0.000, 0.000], [-1.791, 3.102, 0.000], [0.000, 0.000, 17.321]],
  "species": ["Sm", "Sm", "Sm", "Sm", "Sm", "Sm", "H", "H", "H", "O", "O", "O"],
  "fractional_positions": [[0.000, 0.000, 0.245], [0.000, 0.000, 0.755], [0.333, 0.667, 0.422], [0.333, 0.667, 0.912], [0.667, 0.333, 0.088], [0.667, 0.333, 0.578], [0.000, 0.000, 0.000], [0.333, 0.667, 0.667], [0.667, 0.333, 0.333], [0.000, 0.000, 0.500], [0.333, 0.667, 0.167], [0.667, 0.333, 0.833]]
}

(2)
{
  "formula": "Sb2AsPbI",
  "functional": "PBE",
  "state": "relaxed",
  "de_polymorph_ev_per_fu": 0.00,
  "formation_energy_uncorrected_ev_per_atom": 0.450,
  "lattice_angstrom": [[5.493, 0.000, 0.000], [0.000, 5.493, 0.000], [0.000, 0.000, 5.569]],
  "species": ["Sb", "Sb", "As", "Pb", "I"],
  "fractional_positions": [[0.000, 0.500, 0.000], [0.500, 0.000, 0.000], [0.000, 0.000, 0.000], [0.500, 0.500, 0.500], [0.000, 0.000, 0.500]]
}

(3)
{
  "formula": "Al2SbPb",
  "functional": "PBE",
  "state": "relaxed",
  "de_polymorph_ev_per_fu": 0.68,
  "formation_energy_uncorrected_ev_per_atom": 0.297,
  "lattice_angstrom": [[3.331, 0.000, 0.000], [-1.665, 2.884, 0.000], [0.000, 0.000, 30.667]],
  "species": ["Al", "Al", "Al", "Al", "Al", "Al", "Sb", "Sb", "Sb", "Pb", "Pb", "Pb"],
  "fractional_positions": [[0.000, 0.000, 0.243], [0.000, 0.000, 0.757], [0.333, 0.667, 0.424], [0.333, 0.667, 0.910], [0.667, 0.333, 0.090], [0.667, 0.333, 0.576], [0.000, 0.000, 0.500], [0.333, 0.667, 0.167], [0.667, 0.333, 0.833], [0.000, 0.000, 0.000], [0.333, 0.667, 0.667], [0.667, 0.333, 0.333]]
}

| no. | total magnetization (μB per formula unit) |
| --- | --- |
| 1 | 0.0 |
| 2 | 0.0 |
| 3 | 0.0 |